# 1
# ZrTa2V | Alexandria | PBE | relaxed
data_ZrTa2V
_space_group_name_H-M_alt 'P 4/m m m'
_space_group_IT_number 123
_space_group_name_Hall '-P 4 2'
_cell_length_a 3.229
_cell_length_b 3.229
_cell_length_c 6.993
_cell_angle_alpha 90.00
_cell_angle_beta 90.00
_cell_angle_gamma 90.00
loop_
_atom_site_label
_atom_site_type_symbol
_atom_site_fract_x
_atom_site_fract_y
_atom_site_fract_z
Zr1 Zr 0.000 0.000 0.000
Ta1 Ta 0.500 0.500 0.286
V1 V 0.000 0.000 0.500
# **Spin magnetization**: 0.00 μB/f.u.
# **Mass density**: 11.482 g cm⁻³
# **Energy of formation from the pure elements**: 0.10 eV per atom
# **Relative energy among the computed polymorphs**: 0.000 eV per atom

=====

# 2
# ZnSbCl2 | Alexandria | PBE | relaxed
data_ZnSbCl2
_space_group_name_H-M_alt 'F -4 3 m'
_space_group_IT_number 216
_space_group_name_Hall 'F -4 2 3'
_cell_length_a 7.074
_cell_length_b 7.074
_cell_length_c 7.074
_cell_angle_alpha 90.00
_cell_angle_beta 90.00
_cell_angle_gamma 90.00
loop_
_atom_site_label
_atom_site_type_symbol
_atom_site_fract_x
_atom_site_fract_y
_atom_site_fract_z
Zn1 Zn 0.000 0.000 0.000
Sb1 Sb 0.250 0.250 0.250
Cl1 Cl 0.000 0.000 0.500
Cl2 Cl 0.250 0.250 0.750
# **Spin magnetization**: 0.68 μB/f.u.
# **Mass density**: 4.843 g cm⁻³
# **Relative energy among the computed polymorphs**: 0.634 eV per atom
# **Formation energy without anion corrections**: 0.0855 eV per atom

=====

# 3
# Sm2MgSi3Ni4 | Alexandria | PBE | relaxed
data_Sm2MgSi3Ni4
_space_group_name_H-M_alt 'P -4 m 2'
_space_group_IT_number 115
_cell_length_a 4.069
_cell_length_b 4.069
_cell_length_c 9.720
_cell_angle_alpha 90.00
_cell_angle_beta 90.00
_cell_angle_gamma 90.00
loop_
_space_group_symop_operation_xyz
'x,y,z'
'y,-x,-z'
'-x,-y,z'
'-y,x,-z'
'-x,y,z'
'-y,-x,-z'
'x,-y,z'
'y,x,-z'
loop_
_atom_site_label
_atom_site_type_symbol
_atom_site_fract_x
_atom_site_fract_y
_atom_site_fract_z
Sm1 Sm 0.000 0.500 0.240
Mg1 Mg 0.000 0.000 0.500
Si1 Si 0.000 0.500 0.878
Si2 Si 0.500 0.500 0.500
Ni1 Ni 0.000 0.000 0.000
Ni2 Ni 0.000 0.500 0.641
Ni3 Ni 0.500 0.500 0.000
# **Spin magnetization**: 0.00 μB/f.u.
# **Mass density**: 6.646 g cm⁻³
# **Formation energy without anion corrections**: -0.6817 eV per atom

=====

# 4
# K2SiCl5 | Alexandria | PBE | relaxed
data_K2SiCl5
_space_group_name_H-M_alt 'I 4 m m'
_space_group_IT_number 107
_space_group_name_Hall 'I 4 -2'
_cell_length_a 7.325
_cell_length_b 7.325
_cell_length_c 8.911
_cell_angle_alpha 90.00
_cell_angle_beta 90.00
_cell_angle_gamma 90.00
loop_
_atom_site_label
_atom_site_type_symbol
_atom_site_fract_x
_atom_site_fract_y
_atom_site_fract_z
K1 K 0.000 0.500 0.000
Si1 Si 0.000 0.000 0.235
Cl1 Cl 0.000 0.000 0.996
Cl2 Cl 0.227 0.227 0.254
# **Spin magnetization**: 1.00 μB/f.u.
# **Mass density**: 1.969 g cm⁻³
# **Formation energy without anion corrections**: -1.3751 eV per atom

=====

# 5
# Y2CrBr | Alexandria | PBE | relaxed
data_Y2CrBr
_space_group_name_H-M_alt 'P 4 m m'
_space_group_IT_number 99
_cell_length_a 3.517
_cell_length_b 3.517
_cell_length_c 9.254
_cell_angle_alpha 90.00
_cell_angle_beta 90.00
_cell_angle_gamma 90.00
loop_
_space_group_symop_operation_xyz
'x,y,z'
'-y,x,z'
'-x,-y,z'
'y,-x,z'
'-x,y,z'
'y,x,z'
'x,-y,z'
'-y,-x,z'
loop_
_atom_site_label
_atom_site_type_symbol
_atom_site_fract_x
_atom_site_fract_y
_atom_site_fract_z
Y1 Y 0.000 0.000 0.000
Y2 Y 0.500 0.500 0.287
Cr1 Cr 0.500 0.500 0.792
Br1 Br 0.000 0.000 0.484
# **Spin magnetization**: 4.07 μB/f.u.
# **Mass density**: 4.494 g cm⁻³
# **Relative energy among the computed polymorphs**: 0.293 eV per atom
# **Formation energy without anion corrections**: -0.0265 eV per atom

=====

# 6
# TeMoCl2 | Alexandria | PBE | relaxed
data_TeMoCl2
_space_group_name_H-M_alt 'C m m 2'
_space_group_IT_number 35
_cell_length_a 3.328
_cell_length_b 5.733
_cell_length_c 9.536
_cell_angle_alpha 90.00
_cell_angle_beta 90.00
_cell_angle_gamma 90.00
loop_
_space_group_symop_operation_xyz
'x,y,z'
'-x,-y,z'
'-x,y,z'
'x,-y,z'
'x+1/2,y+1/2,z'
'-x+1/2,-y+1/2,z'
'-x+1/2,y+1/2,z'
'x+1/2,-y+1/2,z'
loop_
_atom_site_label
_atom_site_type_symbol
_atom_site_fract_x
_atom_site_fract_y
_atom_site_fract_z
Te1 Te 0.000 0.000 0.000
Mo1 Mo 0.000 0.500 0.764
Cl1 Cl 0.000 0.000 0.575
Cl2 Cl 0.000 0.500 0.243
# **Spin magnetization**: 1.28 μB/f.u.
# **Mass density**: 5.375 g cm⁻³
# **Relative energy among the computed polymorphs**: 0.603 eV per atom
# **Formation energy without anion corrections**: 0.1758 eV per atom

=====

# 7
# PRhCl2 | Alexandria | PBE | relaxed
data_PRhCl2
_space_group_name_H-M_alt 'R -3 m'
_space_group_IT_number 166
_space_group_name_Hall '-R 3 2"'
_cell_length_a 3.3497
_cell_length_b 3.3497
_cell_length_c 25.2871
_cell_angle_alpha 90.00
_cell_angle_beta 90.00
_cell_angle_gamma 120.00
loop_
_atom_site_label
_atom_site_type_symbol
_atom_site_fract_x
_atom_site_fract_y
_atom_site_fract_z
P1 P 0.0000 0.0000 0.0000
Rh1 Rh 0.0000 0.0000 0.5000
Cl1 Cl 0.0000 0.0000 0.2248
# **Spin magnetization**: 0.29 μB/f.u.
# **Mass density**: 4.152 g cm⁻³
# **Relative energy among the computed polymorphs**: 1.223 eV per atom
# **Formation energy without anion corrections**: 0.4863 eV per atom

=====

# 8
# Cr2AgP | Alexandria | PBE | relaxed
data_Cr2AgP
_space_group_name_H-M_alt 'C m m m'
_space_group_IT_number 65
_space_group_name_Hall '-C 2 2'
_cell_length_a 5.576
_cell_length_b 6.800
_cell_length_c 2.893
_cell_angle_alpha 90.00
_cell_angle_beta 90.00
_cell_angle_gamma 90.00
loop_
_atom_site_label
_atom_site_type_symbol
_atom_site_fract_x
_atom_site_fract_y
_atom_site_fract_z
Cr1 Cr 0.250 0.250 0.000
Ag1 Ag 0.000 0.000 0.500
P1 P 0.000 0.500 0.500
# **Spin magnetization**: 3.82 μB/f.u.
# **Mass density**: 7.352 g cm⁻³
# **Energy of formation from the pure elements**: 0.45 eV per atom

=====

# 9
# LiTbPrMg | Alexandria | PBE | relaxed
data_LiTbPrMg
_space_group_name_H-M_alt 'F -4 3 m'
_space_group_IT_number 216
_space_group_name_Hall 'F -4 2 3'
_cell_length_a 7.668
_cell_length_b 7.668
_cell_length_c 7.668
_cell_angle_alpha 90.00
_cell_angle_beta 90.00
_cell_angle_gamma 90.00
loop_
_atom_site_label
_atom_site_type_symbol
_atom_site_fract_x
_atom_site_fract_y
_atom_site_fract_z
Li1 Li 0.000 0.000 0.000
Tb1 Tb 0.250 0.250 0.750
Pr1 Pr 0.250 0.250 0.250
Mg1 Mg 0.000 0.000 0.500
# **Spin magnetization**: 0.00 μB/f.u.
# **Mass density**: 4.878 g cm⁻³
# **Energy of formation from the pure elements**: 0.02 eV per atom

=====

# 10
# Na3AgS | Alexandria | PBE | relaxed
data_Na3AgS
_space_group_name_H-M_alt 'P m -3 m'
_space_group_IT_number 221
_space_group_name_Hall '-P 4 2 3'
_cell_length_a 5.297
_cell_length_b 5.297
_cell_length_c 5.297
_cell_angle_alpha 90.00
_cell_angle_beta 90.00
_cell_angle_gamma 90.00
loop_
_atom_site_label
_atom_site_type_symbol
_atom_site_fract_x
_atom_site_fract_y
_atom_site_fract_z
Na1 Na 0.000 0.000 0.500
Ag1 Ag 0.500 0.500 0.500
S1 S 0.000 0.000 0.000
# **Spin magnetization**: 0.00 μB/f.u.
# **Mass density**: 2.334 g cm⁻³
# **Relative energy among the computed polymorphs**: 0.000 eV per atom
# **Formation energy without anion corrections**: -0.4820 eV per atom

=====

# 11
# Ac2PmHoSe6 | Alexandria | PBE | relaxed
data_Ac2PmHoSe6
_space_group_name_H-M_alt 'R 3'
_space_group_IT_number 146
_space_group_name_Hall 'R 3'
_cell_length_a 7.6156
_cell_length_b 7.6156
_cell_length_c 19.6869
_cell_angle_alpha 90.00
_cell_angle_beta 90.00
_cell_angle_gamma 120.00
loop_
_atom_site_label
_atom_site_type_symbol
_atom_site_fract_x
_atom_site_fract_y
_atom_site_fract_z
Ac1 Ac 0.0000 0.0000 0.0000
Ac2 Ac 0.0000 0.0000 0.4989
Pm1 Pm 0.0000 0.0000 0.2895
Ho1 Ho 0.0000 0.0000 0.7911
Se1 Se 0.0151 0.3905 0.0535
Se2 Se 0.0260 0.6317 0.5518
# **Spin magnetization**: 0.00 μB/f.u.
# **Mass density**: 6.235 g cm⁻³
# **Formation energy without anion corrections**: -1.9177 eV per atom

=====

- Which of these has the highest spin magnetization?
  Y2CrBr

=====

- What is the formula in the first record?
  ZrTa2V

=====

- Among the records above, which one has the highest spin magnetization?
  Y2CrBr

=====

- The highest mass density belongs to which entry?
  ZrTa2V